1.
Material: PHRhO2
Method: DFT, GGA-PBE
State: optimized geometry

Fermi-level density of states: 0.35 states/eV per atom
DFT total energy: -4.74 eV/atom
space group: P4/mmm (123)

Cell lengths 3.698, 3.698, 5.166 Å; angles 90.00, 90.00, 90.00 degrees
Positions (direct):
P: 0.000 0.000 0.000
H: 0.500 0.500 0.000
Rh: 0.000 0.000 0.500
O: 0.000 0.500 0.500
O: 0.500 0.000 0.500

2.
Material: P2HRuO
Method: DFT, GGA-PBE
State: optimized geometry

Fermi-level density of states: 0.73 states/eV per atom
DFT total energy: -5.01 eV/atom
space group: P4/mmm (123)

Cell lengths 4.693, 4.693, 3.677 Å; angles 90.00, 90.00, 90.00 degrees
Positions (direct):
P: 0.000 0.500 0.000
P: 0.500 0.000 0.000
H: 0.000 0.000 0.500
Ru: 0.500 0.500 0.000
O: 0.500 0.500 0.500

3.
Material: PHRuO2
Method: DFT, GGA-PBE
State: optimized geometry

Fermi-level density of states: 0.75 states/eV per atom
DFT total energy: -5.43 eV/atom
space group: P4/mmm (123)

Cell lengths 3.676, 3.676, 5.122 Å; angles 90.00, 90.00, 90.00 degrees
Positions (direct):
P: 0.000 0.000 0.000
H: 0.500 0.500 0.000
Ru: 0.000 0.000 0.500
O: 0.000 0.500 0.500
O: 0.500 0.000 0.500

4.
Material: P2HRuO
Method: DFT, GGA-PBE
State: optimized geometry

Fermi-level density of states: 0.74 states/eV per atom
DFT total energy: -5.03 eV/atom
space group: P4/mmm (123)

Cell lengths 3.476, 3.476, 4.227 Å; angles 90.00, 90.00, 90.00 degrees
Positions (direct):
P: 0.000 0.500 0.000
P: 0.500 0.000 0.000
H: 0.000 0.000 0.000
Ru: 0.500 0.500 0.500
O: 0.000 0.000 0.500